A relaxed Sm8Dy4Ho3 crystal. Source: Alexandria, functional GGA-PBE.

Computed properties:
Symmetry   C2/m (12)
ρ   7.78 g cm⁻³
Energy above the lowest structure with this stoichiometry   0.203 eV/atom

a b c (Å): 9.134 9.134 6.856
angles (deg): 110.61 110.61 83.05
Element x y z (fractional)
Sm  0.202  0.202  0.174
Sm  0.204  0.796  0.000
Sm  0.252  0.748  0.500
Sm  0.255  0.255  0.713
Sm  0.745  0.745  0.287
Sm  0.748  0.252  0.500
Sm  0.796  0.204  0.000
Sm  0.798  0.798  0.826
Dy  0.000  0.500  0.000
Dy  0.500  0.000  0.000
Dy  0.500  0.500  0.000
Dy  0.500  0.500  0.500
Ho  0.000  0.000  0.500
Ho  0.000  0.500  0.500
Ho  0.500  0.000  0.500

***

A relaxed CdGa2Au3 crystal. Source: Alexandria, functional GGA-PBE.

Computed properties:
Raw total energy   -35.774 eV per cell
Symmetry   Pmma (51)
ρ   11.95 g cm⁻³

a b c (Å): 5.907 3.544 11.191
angles (deg): 90.00 90.00 90.00
Element x y z (fractional)
Cd  0.250  0.000  0.007
Cd  0.750  0.000  0.993
Ga  0.250  0.000  0.701
Ga  0.250  0.500  0.370
Ga  0.750  0.000  0.299
Ga  0.750  0.500  0.630
Au  0.000  0.000  0.500
Au  0.000  0.500  0.173
Au  0.000  0.500  0.827
Au  0.500  0.000  0.500
Au  0.500  0.500  0.173
Au  0.500  0.500  0.827

***

A relaxed CaPb2Se crystal. Source: Alexandria, functional GGA-PBE.

Computed properties:
E_form (uncorrected)   -1.4 eV/f.u.
Symmetry   P4/mmm (123)
ρ   7.31 g cm⁻³

a b c (Å): 4.497 4.497 5.991
angles (deg): 90.00 90.00 90.00
Element x y z (fractional)
Ca  0.000  0.000  0.000
Pb  0.500  0.500  0.251
Pb  0.500  0.500  0.749
Se  0.000  0.000  0.500

***

A relaxed Sr2PuBeO6 crystal. Source: Alexandria, functional GGA-PBE.

Computed properties:
E_form (uncorrected)   -26.5 eV/f.u.
Symmetry   P2_1/c (14)
ρ   6.05 g cm⁻³

a b c (Å): 6.112 6.380 9.322
angles (deg): 90.00 127.68 90.00
Element x y z (fractional)
Sr  0.235  0.060  0.250
Sr  0.235  0.440  0.750
Sr  0.765  0.560  0.250
Sr  0.765  0.940  0.750
Pu  0.500  0.000  0.000
Pu  0.500  0.500  0.500
Be  0.000  0.000  0.500
Be  0.000  0.500  0.000
O  0.130  0.028  0.698
O  0.130  0.472  0.198
O  0.263  0.659  0.539
O  0.263  0.841  0.039
O  0.380  0.232  0.544
O  0.380  0.268  0.044
O  0.620  0.732  0.956
O  0.620  0.768  0.456
O  0.737  0.159  0.961
O  0.737  0.341  0.461
O  0.870  0.528  0.802
O  0.870  0.972  0.302

***

A relaxed ZrRe2P crystal. Source: Alexandria, functional GGA-PBE.

Computed properties:
Raw total energy   -153.240 eV per cell
Symmetry   I-42d (122)
ρ   11.58 g cm⁻³

a b c (Å): 3.936 3.936 18.306
angles (deg): 90.00 90.00 90.00
Element x y z (fractional)
Zr  0.000  0.000  0.000
Zr  0.000  0.500  0.250
Zr  0.500  0.000  0.750
Zr  0.500  0.500  0.500
Re  0.180  0.250  0.625
Re  0.250  0.680  0.875
Re  0.250  0.820  0.375
Re  0.320  0.250  0.125
Re  0.680  0.750  0.125
Re  0.750  0.180  0.375
Re  0.750  0.320  0.875
Re  0.820  0.750  0.625
P  0.000  0.000  0.500
P  0.000  0.500  0.750
P  0.500  0.000  0.250
P  0.500  0.500  0.000

***

A relaxed Cs4Cl3 crystal. Source: Alexandria, functional GGA-PBE.

Computed properties:
E_form (uncorrected)   -11.7 eV/f.u.
Symmetry   R-3m (166)
ρ   2.83 g cm⁻³

a b c (Å): 17.232 17.232 17.232
angles (deg): 16.84 16.84 16.84
Element x y z (fractional)
Cs  0.120  0.120  0.120
Cs  0.373  0.373  0.373
Cs  0.627  0.627  0.627
Cs  0.880  0.880  0.880
Cl  0.000  0.000  0.000
Cl  0.253  0.253  0.253
Cl  0.747  0.747  0.747